Record 1
VASP calculation (GGA-PBEsol) on an optimized crystal structure of Nb3SbAs.

Values from the calculation:
As for the crystal system: cubic. Its density of states at the Fermi level is 1.9932 states/eV per atom. For the electronic total energy, the calculation gives -6.7819 eV per atom. The raw formation energy comes out at 1644 meV per atom.

Cell and atoms, written as extended XYZ:
```
5
Lattice="4.984 0.000 0.000 0.000 4.984 0.000 0.000 0.000 4.984" Properties=species:S:1:pos:R:3 pbc="T T T"
Nb 0.000 0.000 2.492
Nb 0.000 2.492 0.000
Nb 2.492 0.000 0.000
Sb 0.000 0.000 0.000
As 2.492 2.492 2.492
```

---

Record 2
VASP calculation (GGA-PBEsol) on an optimized crystal structure of BaTaOs3.

Values from the calculation:
The energy of formation comes out at 1.62 eV per atom. As for the crystal system: cubic. Its density of states at the Fermi level is 1.8534 states/eV per atom. For the electronic total energy, the calculation gives -8.6478 eV per atom.

Cell and atoms, written as extended XYZ:
```
5
Lattice="4.849 0.000 0.000 0.000 4.849 0.000 0.000 0.000 4.849" Properties=species:S:1:pos:R:3 pbc="T T T"
Ba 0.000 0.000 0.000
Ta 2.424 2.424 2.424
Os 0.000 2.424 2.424
Os 2.424 0.000 2.424
Os 2.424 2.424 0.000
```

---

Record 3
VASP calculation (GGA-PBEsol) on an optimized crystal structure of CoCuHg2.

Values from the calculation:
The energy of formation comes out at 0.39 eV per atom. As for the crystal system: trigonal. Its density of states at the Fermi level is 0.8935 states/eV per atom. For the electronic total energy, the calculation gives -2.9155 eV per atom.

Cell and atoms, written as extended XYZ:
```
4
Lattice="1.476 0.852 8.443 -1.476 0.852 8.443 0.000 -1.704 8.443" Properties=species:S:1:pos:R:3 pbc="T T T"
Co 0.000 0.000 0.000
Cu 0.000 0.000 12.664
Hg 0.000 0.000 6.357
Hg 0.000 0.000 18.971
```

---

Record 4
VASP calculation (GGA-PBEsol) on an optimized crystal structure of Rb2Al2Cd.

Values from the calculation:
The energy of formation comes out at 0.66 eV per atom. As for the crystal system: tetragonal. Its density of states at the Fermi level is 0.8750 states/eV per atom. For the electronic total energy, the calculation gives -1.6307 eV per atom.

Cell and atoms, written as extended XYZ:
```
5
Lattice="-2.338 2.338 7.910 2.338 -2.338 7.910 2.338 2.338 -7.910" Properties=species:S:1:pos:R:3 pbc="T T T"
Rb 2.338 0.000 3.955
Rb 0.000 2.338 3.955
Al 0.000 0.000 1.263
Al 0.000 0.000 14.557
Cd 0.000 0.000 7.910
```

---

Record 5
VASP calculation (GGA-PBEsol) on an optimized crystal structure of LiTlSi2S.

Values from the calculation:
As for the crystal system: tetragonal. Its density of states at the Fermi level is 0.7705 states/eV per atom. For the electronic total energy, the calculation gives -3.1202 eV per atom. The raw formation energy comes out at 975 meV per atom.

Cell and atoms, written as extended XYZ:
```
5
Lattice="5.138 0.000 0.000 0.000 5.138 0.000 0.000 0.000 5.378" Properties=species:S:1:pos:R:3 pbc="T T T"
Li 0.000 0.000 0.000
Tl 2.569 2.569 2.689
Si 0.000 2.569 2.689
Si 2.569 0.000 2.689
S 2.569 2.569 0.000
```

---

Record 6
VASP calculation (GGA-PBEsol) on an optimized crystal structure of H3PdRu.

Values from the calculation:
As for the crystal system: cubic. Its density of states at the Fermi level is 0.7012 states/eV per atom. For the electronic total energy, the calculation gives -4.7892 eV per atom.

Cell and atoms, written as extended XYZ:
```
5
Lattice="3.381 0.000 0.000 0.000 3.381 0.000 0.000 0.000 3.381" Properties=species:S:1:pos:R:3 pbc="T T T"
H 0.000 0.000 1.691
H 0.000 1.691 0.000
H 1.691 0.000 0.000
Pd 0.000 0.000 0.000
Ru 1.691 1.691 1.691
```

---

Record 7
VASP calculation (GGA-PBEsol) on an optimized crystal structure of Ga3CuTc.

Values from the calculation:
The energy of formation comes out at 0.83 eV per atom. As for the crystal system: cubic. Its density of states at the Fermi level is 0.5681 states/eV per atom. For the electronic total energy, the calculation gives -4.2890 eV per atom.

Cell and atoms, written as extended XYZ:
```
5
Lattice="4.450 0.000 0.000 0.000 4.450 0.000 0.000 0.000 4.450" Properties=species:S:1:pos:R:3 pbc="T T T"
Ga 0.000 0.000 2.225
Ga 0.000 2.225 0.000
Ga 2.225 0.000 0.000
Cu 0.000 0.000 0.000
Tc 2.225 2.225 2.225
```

---

Record 8
VASP calculation (GGA-PBEsol) on an optimized crystal structure of Ba2ScW.

Values from the calculation:
The energy of formation comes out at 1.25 eV per atom. As for the crystal system: cubic. Its density of states at the Fermi level is 1.1222 states/eV per atom. For the electronic total energy, the calculation gives -4.9277 eV per atom.

Cell and atoms, written as extended XYZ:
```
4
Lattice="0.000 3.823 3.823 3.823 0.000 3.823 3.823 3.823 0.000" Properties=species:S:1:pos:R:3 pbc="T T T"
Ba 1.912 1.912 1.912
Ba 5.735 5.735 5.735
Sc 0.000 0.000 0.000
W 3.823 3.823 3.823
```

---

Record 9
VASP calculation (GGA-PBEsol) on an optimized crystal structure of CaP2AuS.

Values from the calculation:
As for the crystal system: tetragonal. Its density of states at the Fermi level is 1.0262 states/eV per atom. For the electronic total energy, the calculation gives -4.2604 eV per atom. The raw formation energy comes out at 144 meV per atom.

Cell and atoms, written as extended XYZ:
```
5
Lattice="4.719 0.000 0.000 0.000 4.719 0.000 0.000 0.000 5.051" Properties=species:S:1:pos:R:3 pbc="T T T"
Ca 0.000 0.000 0.000
P 0.000 2.360 2.525
P 2.360 0.000 2.525
Au 2.360 2.360 2.525
S 2.360 2.360 0.000
```

---

Record 10
VASP calculation (GGA-PBEsol) on an optimized crystal structure of NdSmIn2.

Values from the calculation:
The energy of formation comes out at -0.54 eV per atom. As for the crystal system: cubic. Its density of states at the Fermi level is 0.4785 states/eV per atom. For the electronic total energy, the calculation gives -4.5931 eV per atom.

Cell and atoms, written as extended XYZ:
```
4
Lattice="0.000 3.783 3.783 3.783 0.000 3.783 3.783 3.783 0.000" Properties=species:S:1:pos:R:3 pbc="T T T"
Nd 0.000 0.000 0.000
Sm 3.783 3.783 3.783
In 1.892 1.892 1.892
In 5.675 5.675 5.675
```

---

Record 11
VASP calculation (GGA-PBEsol) on an optimized crystal structure of RePCl2.

Values from the calculation:
As for the crystal system: trigonal. Its density of states at the Fermi level is 0.6060 states/eV per atom. For the electronic total energy, the calculation gives -5.3324 eV per atom. The raw formation energy comes out at 452 meV per atom.

Cell and atoms, written as extended XYZ:
```
4
Lattice="1.404 0.811 11.426 -1.404 0.811 11.426 0.000 -1.621 11.426" Properties=species:S:1:pos:R:3 pbc="T T T"
Re 0.000 0.000 0.000
P 0.000 0.000 17.139
Cl 0.000 0.000 2.225
Cl 0.000 0.000 32.052
```

---

Record 12
VASP calculation (GGA-PBEsol) on an optimized crystal structure of AlPt2.

Values from the calculation:
The energy of formation comes out at -0.75 eV per atom. As for the crystal system: tetragonal. Its density of states at the Fermi level is 0.3355 states/eV per atom. For the electronic total energy, the calculation gives -6.7550 eV per atom.

Cell and atoms, written as extended XYZ:
```
6
Lattice="-1.436 1.436 10.885 1.436 -1.436 10.885 1.436 1.436 -10.885" Properties=species:S:1:pos:R:3 pbc="T T T"
Al 1.436 0.718 2.721
Al 0.000 0.718 8.164
Pt 1.436 -0.718 6.626
Pt 1.436 -0.718 9.701
Pt 0.000 2.155 1.184
Pt 0.000 2.155 4.258
```